1.
VASP calculation (SCAN) on a PBEsol-optimized structure of Li2SbAs.

Output
magnetization	0.00	Bohr magnetons per cell
formation energy (no corrections)	-354.8	meV/atom
distance to the lowest polymorph of the same formula	0.47	eV per formula unit
space-group type	No. 119
volume	73.7	Å³/cell
E	-63.65	eV for the cell shown

a b c (Å): 3.9969 3.9969 5.4080
angles (deg): 111.69 111.69 90.00
With the nearest neighbours (Å) after each atom.
Fractional positions:
As (0.2500, 0.7500, 0.5000)  8 Li 2.83-3.05, 4 Sb 3.05
Sb (0.5000, 0.5000, 0.0000)  8 Li 2.83-3.05, 4 As 3.05
Li (0.0000, 0.0000, 0.0000)  4 Sb 2.83, 4 Li 3.05, 4 As 3.05
Li (0.7500, 0.2500, 0.5000)  4 As 2.83, 4 Li 3.05, 4 Sb 3.05

2.
VASP calculation (SCAN) on a PBEsol-optimized structure of Li2SbAs2.

Output
magnetization	0.00	Bohr magnetons per cell
formation energy (no corrections)	-359.4	meV/atom
distance to the lowest polymorph of the same formula	0.00	eV per formula unit
space-group type	No. 127
volume	184.9	Å³/cell
E	-168.44	eV for the cell shown

a b c (Å): 2.9078 7.9746 7.9746
angles (deg): 90.00 90.00 90.00
With the nearest neighbours (Å) after each atom.
Fractional positions:
As (0.0000, 0.8199, 0.6801)  6 Li 2.69-2.84, 2 As 2.91, 2 Sb 2.93
As (0.0000, 0.1801, 0.3199)  6 Li 2.69-2.84, 2 As 2.91, 2 Sb 2.93
As (0.0000, 0.6801, 0.1801)  6 Li 2.69-2.84, 2 As 2.91, 2 Sb 2.93
As (0.0000, 0.3199, 0.8199)  6 Li 2.69-2.84, 2 As 2.91, 2 Sb 2.93
Sb (0.0000, 0.0000, 0.0000)  2 Sb 2.91, 4 As 2.93
Sb (0.0000, 0.5000, 0.5000)  2 Sb 2.91, 4 As 2.93
Li (0.5000, 0.8808, 0.3808)  3 Li 2.69-2.91, 6 As 2.69-2.84
Li (0.5000, 0.3808, 0.1192)  3 Li 2.69-2.91, 6 As 2.69-2.84
Li (0.5000, 0.6192, 0.8808)  3 Li 2.69-2.91, 6 As 2.69-2.84
Li (0.5000, 0.1192, 0.6192)  3 Li 2.69-2.91, 6 As 2.69-2.84